Entry 1:
Below is a geometry-optimized ScHgI3 structure, with properties calculated at the PBE level.

Properties
E above lowest polymorph	0.155	eV/atom
space-group type	No. 99
formation energy without anion corrections	-817	meV/atom
density	4.2	Mg/m³
magnetization	0.000	μB per atom
V	49.82	Å³ per atom

```
data_ScHgI3
_chemical_formula_sum 'Sc1 Hg1 I3'
_space_group_name_H-M_alt 'P 1'
_space_group_IT_number 1
_cell_length_a 5.530
_cell_length_b 5.530
_cell_length_c 8.147
_cell_angle_alpha 90.00
_cell_angle_beta 90.00
_cell_angle_gamma 90.00
loop_
_space_group_symop_operation_xyz
'x,y,z'
loop_
_atom_site_label
_atom_site_fract_x
_atom_site_fract_y
_atom_site_fract_z
I1 0.000 0.000 0.850
I2 0.500 0.000 0.281
I3 0.000 0.500 0.281
Sc1 0.000 0.000 0.173
Hg1 0.500 0.500 0.680
```

Entry 2:
Below is a geometry-optimized MnHS structure, with properties calculated at the PBE level.

Properties
space-group type	No. 107
density	3.9	Mg/m³
magnetization	1.262	μB per atom
energy	-5.555	eV per atom
V	12.45	Å³ per atom

```
data_MnHS
_chemical_formula_sum 'Mn1 H1 S1'
_space_group_name_H-M_alt 'P 1'
_space_group_IT_number 1
_cell_length_a 3.409
_cell_length_b 3.409
_cell_length_c 4.017
_cell_angle_alpha 115.11
_cell_angle_beta 115.11
_cell_angle_gamma 90.00
loop_
_space_group_symop_operation_xyz
'x,y,z'
loop_
_atom_site_label
_atom_site_fract_x
_atom_site_fract_y
_atom_site_fract_z
H1 0.245 0.245 0.489
S1 0.607 0.607 0.213
Mn1 0.999 0.999 0.997
```

Entry 3:
Below is a geometry-optimized Li2YAl2 structure, with properties calculated at the PBE level.

Properties
E above lowest polymorph	0.109	eV/atom
space-group type	No. 127
density	2.7	Mg/m³
magnetization	0.001	μB per atom
V	19.55	Å³ per atom

```
data_Li2YAl2
_chemical_formula_sum 'Li4 Y2 Al4'
_space_group_name_H-M_alt 'P 1'
_space_group_IT_number 1
_cell_length_a 8.039
_cell_length_b 8.039
_cell_length_c 3.025
_cell_angle_alpha 90.00
_cell_angle_beta 90.00
_cell_angle_gamma 90.00
loop_
_space_group_symop_operation_xyz
'x,y,z'
loop_
_atom_site_label
_atom_site_fract_x
_atom_site_fract_y
_atom_site_fract_z
Y1 0.000 0.000 0.000
Y2 0.500 0.500 0.000
Al1 0.379 0.879 0.000
Al2 0.879 0.621 0.000
Al3 0.621 0.121 0.000
Al4 0.121 0.379 0.000
Li1 0.174 0.674 0.500
Li2 0.674 0.826 0.500
Li3 0.826 0.326 0.500
Li4 0.326 0.174 0.500
```

Entry 4:
Below is a geometry-optimized Th2CoRh structure, with properties calculated at the PBE level.

Properties
E above lowest polymorph	0.662	eV/atom
space-group type	No. 166
density	10.0	Mg/m³
magnetization	0.000	μB per atom
V	25.95	Å³ per atom

```
data_Th2CoRh
_chemical_formula_sum 'Th2 Co1 Rh1'
_space_group_name_H-M_alt 'P 1'
_space_group_IT_number 1
_cell_length_a 3.794
_cell_length_b 3.794
_cell_length_c 8.608
_cell_angle_alpha 77.27
_cell_angle_beta 77.27
_cell_angle_gamma 60.00
loop_
_space_group_symop_operation_xyz
'x,y,z'
loop_
_atom_site_label
_atom_site_fract_x
_atom_site_fract_y
_atom_site_fract_z
Co1 0.500 0.500 0.500
Rh1 0.000 0.000 0.000
Th1 0.102 0.102 0.694
Th2 0.898 0.898 0.306
```

Entry 5:
Below is a geometry-optimized Ce3DyZn8 structure, with properties calculated at the PBE level.

Properties
E above lowest polymorph	0.000	eV/atom
space-group type	No. 160
density	7.8	Mg/m³
magnetization	0.151	μB per atom
V	19.52	Å³ per atom

```
data_Ce3DyZn8
_chemical_formula_sum 'Ce3 Dy1 Zn8'
_space_group_name_H-M_alt 'P 1'
_space_group_IT_number 1
_cell_length_a 5.502
_cell_length_b 5.502
_cell_length_c 9.483
_cell_angle_alpha 73.14
_cell_angle_beta 73.14
_cell_angle_gamma 60.00
loop_
_space_group_symop_operation_xyz
'x,y,z'
loop_
_atom_site_label
_atom_site_fract_x
_atom_site_fract_y
_atom_site_fract_z
Ce1 0.376 0.376 0.873
Ce2 0.002 0.002 0.993
Ce3 0.496 0.496 0.511
Dy1 0.876 0.876 0.371
Zn1 0.935 0.437 0.191
Zn2 0.442 0.937 0.685
Zn3 0.437 0.437 0.191
Zn4 0.937 0.937 0.685
Zn5 0.187 0.187 0.438
Zn6 0.688 0.688 0.937
Zn7 0.437 0.935 0.191
Zn8 0.937 0.442 0.685
```

Entry 6:
Below is a geometry-optimized Ba11Tl4Hg9 structure, with properties calculated at the PBE level.

Properties
space-group type	No. 65
density	7.6	Mg/m³
magnetization	0.000	μB per atom
energy	-1.826	eV per atom
V	37.50	Å³ per atom

```
data_Ba11Tl4Hg9
_chemical_formula_sum 'Ba11 Tl4 Hg9'
_space_group_name_H-M_alt 'P 1'
_space_group_IT_number 1
_cell_length_a 4.209
_cell_length_b 15.025
_cell_length_c 15.025
_cell_angle_alpha 108.71
_cell_angle_beta 90.00
_cell_angle_gamma 90.00
loop_
_space_group_symop_operation_xyz
'x,y,z'
loop_
_atom_site_label
_atom_site_fract_x
_atom_site_fract_y
_atom_site_fract_z
Ba1 0.000 0.588 0.924
Ba2 0.000 0.412 0.076
Ba3 0.000 0.924 0.588
Ba4 0.000 0.076 0.412
Ba5 0.000 0.645 0.355
Ba6 0.000 0.355 0.645
Ba7 0.000 0.823 0.177
Ba8 0.000 0.177 0.823
Ba9 0.000 0.000 0.000
Ba10 0.000 0.771 0.771
Ba11 0.000 0.229 0.229
Tl1 0.500 0.566 0.715
Tl2 0.500 0.434 0.285
Tl3 0.500 0.715 0.566
Tl4 0.500 0.285 0.434
Hg1 0.500 0.619 0.140
Hg2 0.500 0.381 0.860
Hg3 0.500 0.140 0.619
Hg4 0.500 0.860 0.381
Hg5 0.500 0.795 0.973
Hg6 0.500 0.205 0.027
Hg7 0.500 0.973 0.795
Hg8 0.500 0.027 0.205
Hg9 0.500 0.500 0.500
```

Entry 7:
Below is a geometry-optimized Ti5Tl2H2 structure, with properties calculated at the PBE level.

Properties
space-group type	No. 12
density	8.1	Mg/m³
magnetization	0.024	μB per atom
energy	-5.791	eV per atom
V	14.86	Å³ per atom

```
data_Ti5Tl2H2
_chemical_formula_sum 'Ti5 Tl2 H2'
_space_group_name_H-M_alt 'P 1'
_space_group_IT_number 1
_cell_length_a 3.699
_cell_length_b 5.407
_cell_length_c 7.176
_cell_angle_alpha 96.98
_cell_angle_beta 90.00
_cell_angle_gamma 110.00
loop_
_space_group_symop_operation_xyz
'x,y,z'
loop_
_atom_site_label
_atom_site_fract_x
_atom_site_fract_y
_atom_site_fract_z
Ti1 0.709 0.418 0.146
Ti2 0.291 0.582 0.854
Ti3 0.852 0.704 0.569
Ti4 0.148 0.296 0.431
Ti5 0.000 0.000 0.000
Tl1 0.575 0.149 0.723
Tl2 0.425 0.851 0.277
H1 0.842 0.684 0.836
H2 0.158 0.316 0.164
```

Entry 8:
Below is a geometry-optimized U2MnTc structure, with properties calculated at the PBE level.

Properties
E above lowest polymorph	0.000	eV/atom
space-group type	No. 123
density	14.7	Mg/m³
magnetization	0.303	μB per atom
V	17.75	Å³ per atom

```
data_U2MnTc
_chemical_formula_sum 'U2 Mn1 Tc1'
_space_group_name_H-M_alt 'P 1'
_space_group_IT_number 1
_cell_length_a 3.390
_cell_length_b 3.390
_cell_length_c 6.178
_cell_angle_alpha 90.00
_cell_angle_beta 90.00
_cell_angle_gamma 90.00
loop_
_space_group_symop_operation_xyz
'x,y,z'
loop_
_atom_site_label
_atom_site_fract_x
_atom_site_fract_y
_atom_site_fract_z
Mn1 0.500 0.500 0.500
U1 0.000 0.000 0.714
U2 0.000 0.000 0.286
Tc1 0.500 0.500 0.000
```

Entry 9:
Below is a geometry-optimized EuUIrRh structure, with properties calculated at the PBE level.

Properties
space-group type	No. 216
density	13.8	Mg/m³
magnetization	2.157	μB per atom
energy	-9.768	eV per atom
V	20.54	Å³ per atom

```
data_EuUIrRh
_chemical_formula_sum 'Eu1 U1 Ir1 Rh1'
_space_group_name_H-M_alt 'P 1'
_space_group_IT_number 1
_cell_length_a 4.880
_cell_length_b 4.880
_cell_length_c 4.880
_cell_angle_alpha 60.00
_cell_angle_beta 60.00
_cell_angle_gamma 60.00
loop_
_space_group_symop_operation_xyz
'x,y,z'
loop_
_atom_site_label
_atom_site_fract_x
_atom_site_fract_y
_atom_site_fract_z
Eu1 0.500 0.500 0.500
Rh1 0.250 0.250 0.250
Ir1 0.750 0.750 0.750
U1 0.000 0.000 0.000
```

Entry 10:
Below is a geometry-optimized ReSb2IrI structure, with properties calculated at the PBE level.

Properties
E above lowest polymorph	0.000	eV/atom
space-group type	No. 123
formation energy without anion corrections	1486	meV/atom
density	9.1	Mg/m³
magnetization	0.016	μB per atom
V	27.48	Å³ per atom

```
data_ReSb2IrI
_chemical_formula_sum 'Re1 Sb2 Ir1 I1'
_space_group_name_H-M_alt 'P 1'
_space_group_IT_number 1
_cell_length_a 5.038
_cell_length_b 5.038
_cell_length_c 5.412
_cell_angle_alpha 90.00
_cell_angle_beta 90.00
_cell_angle_gamma 90.00
loop_
_space_group_symop_operation_xyz
'x,y,z'
loop_
_atom_site_label
_atom_site_fract_x
_atom_site_fract_y
_atom_site_fract_z
I1 0.000 0.000 0.500
Re1 0.000 0.000 0.000
Ir1 0.500 0.500 0.500
Sb1 0.000 0.500 0.000
Sb2 0.500 0.000 0.000
```

Entry 11:
Below is a geometry-optimized Hf4RhC structure, with properties calculated at the PBE level.

Properties
space-group type	No. 63
density	11.7	Mg/m³
magnetization	0.000	μB per atom
energy	-9.755	eV per atom
V	19.61	Å³ per atom

```
data_Hf4RhC
_chemical_formula_sum 'Hf8 Rh2 C2'
_space_group_name_H-M_alt 'P 1'
_space_group_IT_number 1
_cell_length_a 4.607
_cell_length_b 5.998
_cell_length_c 9.223
_cell_angle_alpha 90.00
_cell_angle_beta 90.00
_cell_angle_gamma 112.57
loop_
_space_group_symop_operation_xyz
'x,y,z'
loop_
_atom_site_label
_atom_site_fract_x
_atom_site_fract_y
_atom_site_fract_z
Hf1 0.646 0.792 0.750
Hf2 0.354 0.208 0.250
Hf3 0.339 0.178 0.750
Hf4 0.661 0.822 0.250
Hf5 0.147 0.794 0.006
Hf6 0.853 0.206 0.506
Hf7 0.147 0.794 0.494
Hf8 0.853 0.206 0.994
Rh1 0.024 0.548 0.750
Rh2 0.976 0.452 0.250
C1 0.842 0.184 0.750
C2 0.158 0.816 0.250
```

Entry 12:
Below is a geometry-optimized HgS8 structure, with properties calculated at the PBE level.

Properties
space-group type	No. 12
formation energy without anion corrections	160	meV/atom
density	2.5	Mg/m³
magnetization	0.000	μB per atom
V	33.51	Å³ per atom

```
data_HgS8
_chemical_formula_sum 'Hg1 S8'
_space_group_name_H-M_alt 'P 1'
_space_group_IT_number 1
_cell_length_a 9.309
_cell_length_b 6.338
_cell_length_c 6.338
_cell_angle_alpha 118.00
_cell_angle_beta 111.01
_cell_angle_gamma 90.15
loop_
_space_group_symop_operation_xyz
'x,y,z'
loop_
_atom_site_label
_atom_site_fract_x
_atom_site_fract_y
_atom_site_fract_z
Hg1 0.000 0.000 0.000
S1 0.935 0.738 0.198
S2 0.065 0.262 0.802
S3 0.708 0.960 0.748
S4 0.426 0.232 0.193
S5 0.707 0.640 0.067
S6 0.574 0.768 0.807
S7 0.292 0.040 0.252
S8 0.293 0.360 0.933
```

Q: Number 6 is which compound?
A: Ba11Tl4Hg9